Record 1
Fe2CoW GGA-PBE optimized geometry; density = 12.2 Mg/m³; energy relative to the lowest polymorph listed for this composition = 43.1 meV/atom
1.0
4.5034 0.0035 0.0085
1.6045 4.2079 -0.0085
-3.0581 -2.0997 2.5535
Co Fe W
1 2 1
direct
0.2500 0.7500 0.5000
0.0000 0.0000 0.0000
0.5000 0.5000 0.0000
0.7500 0.2500 0.5000

=====

Record 2
BeHgAs2Se GGA-PBE optimized geometry; density = 5.1 Mg/m³; raw formation energy = 1448.9 meV/atom; energy relative to the lowest polymorph listed for this composition = 967.9 meV/atom
1.0
-1.9214 -4.8052 0.2808
4.7396 -1.9414 -0.7917
0.8556 -0.0374 5.2144
Be As Hg Se
1 2 1 1
direct
0.5000 0.5000 0.5000
0.0000 0.5000 0.0000
0.5000 0.0000 0.0000
0.0000 0.0000 0.0000
0.0000 0.0000 0.5000